No. 1
# K2DyPuSe4 PBE optimized geometry
# * density: 5.54 Mg/m³
# * formation energy without anion corrections: -1.604 eV/atom
# * D(E_F): 11.92 states/eV/f.u.
# * magnetic moment: 0.625 μB/atom
data_K2DyPuSe4
_cell_length_a 7.3791
_cell_length_b 4.2524
_cell_length_c 8.0392
_cell_angle_alpha 90.00
_cell_angle_beta 107.83
_cell_angle_gamma 90.00
_symmetry_space_group_name_H-M 'P 1 2/m 1'
_symmetry_Int_Tables_number 10
_symmetry_space_group_name_Hall '-P 2y'
loop_
_atom_site_label
_atom_site_fract_x
_atom_site_fract_y
_atom_site_fract_z
K1 0.0000 0.0000 0.0000
K2 0.5000 0.5000 0.0000
Dy1 0.0000 0.5000 0.5000
Pu1 0.5000 0.0000 0.5000
Se1 0.2310 0.0000 0.7057
Se2 0.2624 0.5000 0.2955


No. 2
# Ca2YWN4 PBE optimized geometry
# * density: 5.07 Mg/m³
# * formation energy without anion corrections: -1.073 eV/atom
# * D(E_F): 2.42 states/eV/f.u.
# * magnetic moment: 0.120 μB/atom
data_Ca2YWN4
_cell_length_a 7.6301
_cell_length_b 6.7495
_cell_length_c 5.2007
_cell_angle_alpha 90.00
_cell_angle_beta 90.00
_cell_angle_gamma 90.00
_symmetry_space_group_name_H-M 'P m n 21'
_symmetry_Int_Tables_number 31
_symmetry_space_group_name_Hall 'P 2ac -2'
loop_
_atom_site_label
_atom_site_fract_x
_atom_site_fract_y
_atom_site_fract_z
Ca1 0.2475 0.1585 0.0000
Y1 0.0000 0.6638 0.0034
W1 0.0000 0.3405 0.5426
N1 0.0000 0.3463 0.9013
N2 0.0000 0.6199 0.4602
N3 0.2144 0.2054 0.4679


No. 3
# LaAl2P PBE optimized geometry
# * density: 4.19 Mg/m³
# * energy: -4.862 eV per atom
# * D(E_F): 2.18 states/eV/f.u.
# * magnetic moment: 0.000 μB/atom
data_LaAl2P
_cell_length_a 4.1002
_cell_length_b 4.1002
_cell_length_c 10.5489
_cell_angle_alpha 90.00
_cell_angle_beta 90.00
_cell_angle_gamma 90.00
_symmetry_space_group_name_H-M 'I 4/m m m'
_symmetry_Int_Tables_number 139
_symmetry_space_group_name_Hall '-I 4 2'
loop_
_atom_site_label
_atom_site_fract_x
_atom_site_fract_y
_atom_site_fract_z
La1 0.0000 0.0000 0.0000
Al1 0.0000 0.5000 0.2500
P1 0.0000 0.0000 0.5000


No. 4
# LaTaClO4 PBE optimized geometry
# * density: 4.70 Mg/m³
# * formation energy without anion corrections: -2.601 eV/atom
# * D(E_F): 0.52 states/eV/f.u.
# * magnetic moment: 0.140 μB/atom
data_LaTaClO4
_cell_length_a 12.0469
_cell_length_b 7.4562
_cell_length_c 6.8817
_cell_angle_alpha 90.00
_cell_angle_beta 106.46
_cell_angle_gamma 90.00
_symmetry_space_group_name_H-M 'C 1 2/m 1'
_symmetry_Int_Tables_number 12
_symmetry_space_group_name_Hall '-C 2y'
loop_
_atom_site_label
_atom_site_fract_x
_atom_site_fract_y
_atom_site_fract_z
La1 0.2494 0.0000 0.3682
Ta1 0.1266 0.0000 0.7446
Cl1 0.0041 0.5000 0.3132
O1 0.0397 0.0000 0.3578
O2 0.1632 0.0000 0.0233
O3 0.2024 0.1894 0.6587


Question: Which formula does entry 1 have?
Answer: K2DyPuSe4


Question: Look up the magnetic moment of the fourth one.
Answer: 0.140 μB/atom


Question: What is the density in the fourth record?
Answer: 4.70 Mg/m³


Question: The lowest density belongs to which entry?
Answer: LaAl2P